Entry 1:
This record from the Alexandria database describes an optimized crystal structure of MgZrTl. The functional is GGA-PBE.

Output
Formation energy (eV per atom): 0.07
M_tot (μB per formula unit): 0.000
Space-group type: P3m1, No. 156

abc: 3.2318 3.2318 7.8616
angles: 90.00 90.00 120.00
Sites, in units of the cell vectors:
1 Mg 0.0000 0.0000 0.0000
2 Zr 0.3333 0.6667 0.6684
3 Tl 0.6667 0.3333 0.3306



Entry 2:
This record from the Alexandria database describes an optimized crystal structure of MgZr2Tl. The functional is GGA-PBE.

Output
Formation energy (eV per atom): 0.00
M_tot (μB per formula unit): 0.000
Space-group type: I-4m2, No. 119

abc: 4.3337 4.3337 9.5762
angles: 90.00 90.00 90.00
Sites, in units of the cell vectors:
1 Mg 0.0000 0.0000 0.0000
2 Mg 0.5000 0.5000 0.5000
3 Zr 0.0000 0.0000 0.5000
4 Zr 0.0000 0.5000 0.2500
5 Zr 0.5000 0.0000 0.7500
6 Zr 0.5000 0.5000 0.0000
7 Tl 0.0000 0.5000 0.7500
8 Tl 0.5000 0.0000 0.2500



Entry 3:
This record from the Alexandria database describes an optimized crystal structure of MgZr2Tl. The functional is GGA-PBE.

Output
Formation energy (eV per atom): -0.01
M_tot (μB per formula unit): 0.000
Space-group type: Pm, No. 6

abc: 3.3158 4.5256 6.3530
angles: 90.00 104.88 90.00
Sites, in units of the cell vectors:
1 Mg 0.0000 0.0000 0.0000
2 Zr 0.3910 0.5000 0.7761
3 Zr 0.7591 0.0000 0.5091
4 Tl 0.1455 0.5000 0.2719



Entry 4:
This record from the Alexandria database describes an optimized crystal structure of Tm3Mg5. The functional is GGA-PBE.

Output
Formation energy (eV per atom): -0.05
M_tot (μB per formula unit): 0.000
Space-group type: Cmmm, No. 65
ΔE to the lowest computed polymorph (meV/atom): 0

abc: 7.6434 10.4359 5.1427
angles: 90.00 90.00 90.00
Sites, in units of the cell vectors:
1 Tm 0.0000 0.0000 0.0000
2 Tm 0.0000 0.2535 0.5000
3 Tm 0.0000 0.7465 0.5000
4 Tm 0.5000 0.2465 0.5000
5 Tm 0.5000 0.5000 0.0000
6 Tm 0.5000 0.7535 0.5000
7 Mg 0.0000 0.5000 0.0000
8 Mg 0.2434 0.5000 0.5000
9 Mg 0.2500 0.2500 0.0000
10 Mg 0.2500 0.7500 0.0000
11 Mg 0.2566 0.0000 0.5000
12 Mg 0.5000 0.0000 0.0000
13 Mg 0.7434 0.0000 0.5000
14 Mg 0.7500 0.2500 0.0000
15 Mg 0.7500 0.7500 0.0000
16 Mg 0.7566 0.5000 0.5000



Entry 5:
This record from the Alexandria database describes an optimized crystal structure of Tm2Mg17. The functional is GGA-PBE.

Output
Formation energy (eV per atom): 0.01
M_tot (μB per formula unit): 0.000
Space-group type: R-3m, No. 166

abc: 7.7681 7.7681 7.7681
angles: 81.86 81.86 81.86
Sites, in units of the cell vectors:
1 Tm 0.1728 0.1728 0.1728
2 Tm 0.8272 0.8272 0.8272
3 Mg 0.0000 0.5000 0.5000
4 Mg 0.1472 0.1472 0.6608
5 Mg 0.1472 0.6608 0.1472
6 Mg 0.1922 0.5000 0.8078
7 Mg 0.1922 0.8078 0.5000
8 Mg 0.3392 0.8528 0.8528
9 Mg 0.4007 0.4007 0.4007
10 Mg 0.5000 0.0000 0.5000
11 Mg 0.5000 0.1922 0.8078
12 Mg 0.5000 0.5000 0.0000
13 Mg 0.5000 0.8078 0.1922
14 Mg 0.5993 0.5993 0.5993
15 Mg 0.6608 0.1472 0.1472
16 Mg 0.8078 0.1922 0.5000
17 Mg 0.8078 0.5000 0.1922
18 Mg 0.8528 0.3392 0.8528
19 Mg 0.8528 0.8528 0.3392



Entry 6:
This record from the Alexandria database describes an optimized crystal structure of Tm3Mg2. The functional is GGA-PBE.

Output
Formation energy (eV per atom): 0.16
M_tot (μB per formula unit): 0.002
Space-group type: C2/c, No. 15
ΔE to the lowest computed polymorph (meV/atom): 199

abc: 7.2757 7.2757 5.7631
angles: 97.99 97.99 105.05
Sites, in units of the cell vectors:
1 Tm 0.0000 0.5000 0.0000
2 Tm 0.0783 0.2412 0.4825
3 Tm 0.2412 0.0783 0.9825
4 Tm 0.5000 0.0000 0.5000
5 Tm 0.7588 0.9217 0.0175
6 Tm 0.9217 0.7588 0.5175
7 Mg 0.3186 0.6814 0.7500
8 Mg 0.4357 0.5643 0.2500
9 Mg 0.5643 0.4357 0.7500
10 Mg 0.6814 0.3186 0.2500



Entry 7:
This record from the Alexandria database describes an optimized crystal structure of Tm4Mg3. The functional is GGA-PBE.

Output
Formation energy (eV per atom): 0.22
M_tot (μB per formula unit): 0.000
Space-group type: I-43d, No. 220

abc: 8.0702 8.0702 8.0702
angles: 109.47 109.47 109.47
Sites, in units of the cell vectors:
1 Tm 0.0000 0.1559 0.5000
2 Tm 0.0000 0.6559 0.5000
3 Tm 0.1559 0.5000 0.0000
4 Tm 0.3441 0.3441 0.3441
5 Tm 0.5000 0.0000 0.1559
6 Tm 0.5000 0.0000 0.6559
7 Tm 0.6559 0.5000 0.0000
8 Tm 0.8441 0.8441 0.8441
9 Mg 0.1250 0.8750 0.2500
10 Mg 0.2500 0.1250 0.8750
11 Mg 0.3750 0.6250 0.7500
12 Mg 0.6250 0.7500 0.3750
13 Mg 0.7500 0.3750 0.6250
14 Mg 0.8750 0.2500 0.1250



Entry 8:
This record from the Alexandria database describes an optimized crystal structure of Tm6Mg23. The functional is GGA-PBE.

Output
Formation energy (eV per atom): -0.02
M_tot (μB per formula unit): 0.000
Space-group type: Fm-3m, No. 225

abc: 10.0167 10.0167 10.0167
angles: 60.00 60.00 60.00
Sites, in units of the cell vectors:
1 Tm 0.1884 0.1884 0.8116
2 Tm 0.1884 0.8116 0.1884
3 Tm 0.1884 0.8116 0.8116
4 Tm 0.8116 0.1884 0.1884
5 Tm 0.8116 0.1884 0.8116
6 Tm 0.8116 0.8116 0.1884
7 Mg 0.0000 0.0000 0.5000
8 Mg 0.0000 0.5000 0.0000
9 Mg 0.0000 0.5000 0.5000
10 Mg 0.1408 0.6197 0.6197
11 Mg 0.1681 0.1681 0.1681
12 Mg 0.1681 0.1681 0.4957
13 Mg 0.1681 0.4957 0.1681
14 Mg 0.3803 0.3803 0.3803
15 Mg 0.3803 0.3803 0.8592
16 Mg 0.3803 0.8592 0.3803
17 Mg 0.4957 0.1681 0.1681
18 Mg 0.5000 0.0000 0.0000
19 Mg 0.5000 0.0000 0.5000
20 Mg 0.5000 0.5000 0.0000
21 Mg 0.5000 0.5000 0.5000
22 Mg 0.5043 0.8319 0.8319
23 Mg 0.6197 0.1408 0.6197
24 Mg 0.6197 0.6197 0.1408
25 Mg 0.6197 0.6197 0.6197
26 Mg 0.8319 0.5043 0.8319
27 Mg 0.8319 0.8319 0.5043
28 Mg 0.8319 0.8319 0.8319
29 Mg 0.8592 0.3803 0.3803



Entry 9:
This record from the Alexandria database describes an optimized crystal structure of Tm5Mg3. The functional is GGA-PBE.

Output
Formation energy (eV per atom): -0.03
M_tot (μB per formula unit): 0.001
Space-group type: P4/mmm, No. 123

abc: 3.6179 3.6179 16.8240
angles: 90.00 90.00 90.00
Sites, in units of the cell vectors:
1 Tm 0.0000 0.0000 0.0000
2 Tm 0.0000 0.0000 0.2403
3 Tm 0.0000 0.0000 0.7597
4 Tm 0.5000 0.5000 0.3788
5 Tm 0.5000 0.5000 0.6212
6 Mg 0.0000 0.0000 0.5000
7 Mg 0.5000 0.5000 0.1190
8 Mg 0.5000 0.5000 0.8810



Entry 10:
This record from the Alexandria database describes an optimized crystal structure of Tm3Mg2. The functional is GGA-PBE.

Output
Formation energy (eV per atom): -0.03
M_tot (μB per formula unit): 0.000
Space-group type: P4/mmm, No. 123
ΔE to the lowest computed polymorph (meV/atom): 0

abc: 3.5733 3.5733 21.4329
angles: 90.00 90.00 90.00
Sites, in units of the cell vectors:
1 Tm 0.0000 0.0000 0.0000
2 Tm 0.0000 0.0000 0.1897
3 Tm 0.0000 0.0000 0.3888
4 Tm 0.0000 0.0000 0.6112
5 Tm 0.0000 0.0000 0.8103
6 Tm 0.5000 0.5000 0.5000
7 Mg 0.5000 0.5000 0.0949
8 Mg 0.5000 0.5000 0.2876
9 Mg 0.5000 0.5000 0.7124
10 Mg 0.5000 0.5000 0.9051



Entry 11:
This record from the Alexandria database describes an optimized crystal structure of Tm13Mg2. The functional is GGA-PBE.

Output
Formation energy (eV per atom): 0.04
M_tot (μB per formula unit): 0.006
Space-group type: P-1, No. 2

abc: 6.6167 8.4089 8.8270
angles: 66.08 78.73 82.24
Sites, in units of the cell vectors:
1 Tm 0.0000 0.0000 0.0000
2 Tm 0.1227 0.4799 0.7472
3 Tm 0.1948 0.2289 0.1526
4 Tm 0.2492 0.9438 0.5734
5 Tm 0.3109 0.6636 0.9704
6 Tm 0.3744 0.4089 0.3887
7 Tm 0.4836 0.1389 0.7963
8 Tm 0.5164 0.8611 0.2037
9 Tm 0.6256 0.5911 0.6113
10 Tm 0.6891 0.3364 0.0296
11 Tm 0.7508 0.0562 0.4266
12 Tm 0.8052 0.7711 0.8474
13 Tm 0.8773 0.5201 0.2528
14 Mg 0.0620 0.7549 0.3829
15 Mg 0.9380 0.2451 0.6171



Entry 12:
This record from the Alexandria database describes an optimized crystal structure of Tm3Mg. The functional is GGA-PBE.

Output
Formation energy (eV per atom): -0.01
M_tot (μB per formula unit): 0.000
Space-group type: Imm2, No. 44
ΔE to the lowest computed polymorph (meV/atom): 12

abc: 3.7690 11.2102 5.3659
angles: 90.00 90.00 90.00
Sites, in units of the cell vectors:
1 Tm 0.0000 0.0000 0.0000
2 Tm 0.0000 0.2291 0.5008
3 Tm 0.0000 0.7709 0.5008
4 Tm 0.5000 0.2709 0.0008
5 Tm 0.5000 0.5000 0.5000
6 Tm 0.5000 0.7291 0.0008
7 Mg 0.0000 0.5000 0.9997
8 Mg 0.5000 0.0000 0.4997



Entry 13:
This record from the Alexandria database describes an optimized crystal structure of Tm2Mg7. The functional is GGA-PBE.

Output
Formation energy (eV per atom): 0.01
M_tot (μB per formula unit): 0.000
Space-group type: P-31m, No. 162
ΔE to the lowest computed polymorph (meV/atom): 0

abc: 5.7333 5.7333 7.9089
angles: 90.00 90.00 120.00
Sites, in units of the cell vectors:
1 Tm 0.3333 0.6667 0.0000
2 Tm 0.6667 0.3333 0.0000
3 Mg 0.0000 0.0000 0.0000
4 Mg 0.0000 0.3263 0.6626
5 Mg 0.0000 0.6737 0.3374
6 Mg 0.3263 0.0000 0.6626
7 Mg 0.3263 0.3263 0.3374
8 Mg 0.6737 0.0000 0.3374
9 Mg 0.6737 0.6737 0.6626



Entry 14:
This record from the Alexandria database describes an optimized crystal structure of Tm5Mg24. The functional is GGA-PBE.

Output
Formation energy (eV per atom): -0.04
M_tot (μB per formula unit): 0.000
Space-group type: I-43m, No. 217

abc: 9.7086 9.7086 9.7086
angles: 109.47 109.47 109.47
Sites, in units of the cell vectors:
1 Tm 0.0000 0.0000 0.0000
2 Tm 0.0000 0.0000 0.6257
3 Tm 0.0000 0.6257 0.0000
4 Tm 0.3743 0.3743 0.3743
5 Tm 0.6257 0.0000 0.0000
6 Mg 0.0000 0.1908 0.3707
7 Mg 0.0000 0.3707 0.1908
8 Mg 0.0000 0.3890 0.6770
9 Mg 0.0000 0.6770 0.3890
10 Mg 0.1799 0.8092 0.8092
11 Mg 0.1908 0.0000 0.3707
12 Mg 0.1908 0.3707 0.0000
13 Mg 0.2880 0.6110 0.6110
14 Mg 0.3230 0.3230 0.7120
15 Mg 0.3230 0.7120 0.3230
16 Mg 0.3707 0.0000 0.1908
17 Mg 0.3707 0.1908 0.0000
18 Mg 0.3890 0.0000 0.6770
19 Mg 0.3890 0.6770 0.0000
20 Mg 0.6110 0.2880 0.6110
21 Mg 0.6110 0.6110 0.2880
22 Mg 0.6293 0.6293 0.8201
23 Mg 0.6293 0.8201 0.6293
24 Mg 0.6770 0.0000 0.3890
25 Mg 0.6770 0.3890 0.0000
26 Mg 0.7120 0.3230 0.3230
27 Mg 0.8092 0.1799 0.8092
28 Mg 0.8092 0.8092 0.1799
29 Mg 0.8201 0.6293 0.6293



Entry 15:
This record from the Alexandria database describes an optimized crystal structure of Tm3Mg4. The functional is GGA-PBE.

Output
Formation energy (eV per atom): -0.04
M_tot (μB per formula unit): 0.001
Space-group type: R-3, No. 148

abc: 8.3458 8.3458 8.3458
angles: 113.55 113.55 113.55
Sites, in units of the cell vectors:
1 Tm 0.0723 0.6412 0.7882
2 Tm 0.2118 0.9277 0.3588
3 Tm 0.3588 0.2118 0.9277
4 Tm 0.6412 0.7882 0.0723
5 Tm 0.7882 0.0723 0.6412
6 Tm 0.9277 0.3588 0.2118
7 Mg 0.0000 0.0000 0.0000
8 Mg 0.1532 0.2929 0.5703
9 Mg 0.2929 0.5703 0.1532
10 Mg 0.4297 0.8468 0.7071
11 Mg 0.5000 0.5000 0.5000
12 Mg 0.5703 0.1532 0.2929
13 Mg 0.7071 0.4297 0.8468
14 Mg 0.8468 0.7071 0.4297



Entry 16:
This record from the Alexandria database describes an optimized crystal structure of Tm2Mg. The functional is GGA-PBE.

Output
Formation energy (eV per atom): -0.06
M_tot (μB per formula unit): 0.000
Space-group type: Cmcm, No. 63

abc: 3.6158 17.0014 5.3986
angles: 90.00 90.00 90.00
Sites, in units of the cell vectors:
1 Tm 0.0000 0.0952 0.2500
2 Tm 0.0000 0.2268 0.7500
3 Tm 0.0000 0.7732 0.2500
4 Tm 0.0000 0.9048 0.7500
5 Tm 0.5000 0.2732 0.2500
6 Tm 0.5000 0.4048 0.7500
7 Tm 0.5000 0.5952 0.2500
8 Tm 0.5000 0.7268 0.7500
9 Mg 0.0000 0.4352 0.2500
10 Mg 0.0000 0.5648 0.7500
11 Mg 0.5000 0.0648 0.7500
12 Mg 0.5000 0.9352 0.2500



Entry 17:
This record from the Alexandria database describes an optimized crystal structure of Tm2Mg. The functional is GGA-PBE.

Output
Formation energy (eV per atom): -0.03
M_tot (μB per formula unit): 0.858
Space-group type: I4/mmm, No. 139

abc: 3.5467 3.5467 13.3489
angles: 90.00 90.00 90.00
Sites, in units of the cell vectors:
1 Tm 0.0000 0.0000 0.1621
2 Tm 0.0000 0.0000 0.8379
3 Tm 0.5000 0.5000 0.3379
4 Tm 0.5000 0.5000 0.6621
5 Mg 0.0000 0.0000 0.5000
6 Mg 0.5000 0.5000 0.0000



Entry 18:
This record from the Alexandria database describes an optimized crystal structure of Tm2Mg3. The functional is GGA-PBE.

Output
Formation energy (eV per atom): -0.05
M_tot (μB per formula unit): 0.000
Space-group type: P4/mmm, No. 123
ΔE to the lowest computed polymorph (meV/atom): 0

abc: 3.7162 3.7162 18.5792
angles: 90.00 90.00 90.00
Sites, in units of the cell vectors:
1 Tm 0.0000 0.0000 0.1016
2 Tm 0.0000 0.0000 0.3015
3 Tm 0.0000 0.0000 0.6985
4 Tm 0.0000 0.0000 0.8984
5 Mg 0.0000 0.0000 0.5000
6 Mg 0.5000 0.5000 0.0000
7 Mg 0.5000 0.5000 0.2016
8 Mg 0.5000 0.5000 0.4089
9 Mg 0.5000 0.5000 0.5911
10 Mg 0.5000 0.5000 0.7984



Entry 19:
This record from the Alexandria database describes an optimized crystal structure of Tm8Mg. The functional is GGA-PBE.

Output
Formation energy (eV per atom): 0.08
M_tot (μB per formula unit): 0.005
Space-group type: I4/mmm, No. 139

abc: 8.6444 8.6444 8.6444
angles: 92.66 92.66 155.11
Sites, in units of the cell vectors:
1 Tm 0.0000 0.3369 0.3369
2 Tm 0.0000 0.6631 0.6631
3 Tm 0.3369 0.0000 0.3369
4 Tm 0.3396 0.3396 0.6792
5 Tm 0.3396 0.6604 0.0000
6 Tm 0.6604 0.3396 0.0000
7 Tm 0.6604 0.6604 0.3208
8 Tm 0.6631 0.0000 0.6631
9 Mg 0.0000 0.0000 0.0000



Entry 20:
This record from the Alexandria database describes an optimized crystal structure of Tm3Mg. The functional is GGA-PBE.

Output
Formation energy (eV per atom): -0.02
M_tot (μB per formula unit): 0.000
Space-group type: P4/mmm, No. 123
ΔE to the lowest computed polymorph (meV/atom): 0

abc: 3.5086 3.5086 9.2670
angles: 90.00 90.00 90.00
Sites, in units of the cell vectors:
1 Tm 0.0000 0.0000 0.0000
2 Tm 0.5000 0.5000 0.2593
3 Tm 0.5000 0.5000 0.7407
4 Mg 0.0000 0.0000 0.5000